1.
# GGA-PBE Ta2PtSe, optimized geometry
# Total magnetization = 0.00 μB per atom
# ρ = 15.439 g/cm3
# Uncorrected formation energy = -0.19 eV per atom
data_Ta2PtSe
_cell_length_a 2.964
_cell_length_b 4.094
_cell_length_c 5.798
_cell_angle_alpha 90.00
_cell_angle_beta 103.53
_cell_angle_gamma 90.00
_space_group_name_H-M_alt 'P 1 2/m 1'
_space_group_IT_number 10
loop_
_space_group_symop_operation_xyz
'x,y,z'
'-x,-y,-z'
'-x,y,-z'
'x,-y,z'
loop_
_atom_site_label
_atom_site_type_symbol
_atom_site_fract_x
_atom_site_fract_y
_atom_site_fract_z
Ta1 Ta 0.074 0.000 0.253
Pt1 Pt 0.500 0.500 0.000
Se1 Se 0.500 0.500 0.500

2.
# GGA-PBE TaPtSe2, optimized geometry
# Total magnetization = 0.06 μB per atom
# ρ = 10.047 g/cm3
# Uncorrected formation energy = -0.28 eV per atom
data_TaPtSe2
_cell_length_a 3.527
_cell_length_b 3.670
_cell_length_c 13.635
_cell_angle_alpha 90.00
_cell_angle_beta 90.00
_cell_angle_gamma 90.00
_space_group_name_H-M_alt 'I m m 2'
_space_group_IT_number 44
loop_
_space_group_symop_operation_xyz
'x,y,z'
'-x,-y,z'
'-x,y,z'
'x,-y,z'
'x+1/2,y+1/2,z+1/2'
'-x+1/2,-y+1/2,z+1/2'
'-x+1/2,y+1/2,z+1/2'
'x+1/2,-y+1/2,z+1/2'
loop_
_atom_site_label
_atom_site_type_symbol
_atom_site_fract_x
_atom_site_fract_y
_atom_site_fract_z
Ta1 Ta 0.000 0.000 0.000
Pt1 Pt 0.000 0.500 0.857
Se1 Se 0.000 0.000 0.586
Se2 Se 0.000 0.500 0.346

3.
# GGA-PBE Ta2PtSe, optimized geometry
# Total magnetization = 0.00 μB per atom
# ρ = 14.822 g/cm3
# Uncorrected formation energy = -0.31 eV per atom
data_Ta2PtSe
_cell_length_a 3.367
_cell_length_b 3.367
_cell_length_c 6.284
_cell_angle_alpha 90.00
_cell_angle_beta 90.00
_cell_angle_gamma 90.00
_space_group_name_H-M_alt 'P 4 m m'
_space_group_IT_number 99
loop_
_space_group_symop_operation_xyz
'x,y,z'
'-y,x,z'
'-x,-y,z'
'y,-x,z'
'-x,y,z'
'y,x,z'
'x,-y,z'
'-y,-x,z'
loop_
_atom_site_label
_atom_site_type_symbol
_atom_site_fract_x
_atom_site_fract_y
_atom_site_fract_z
Ta1 Ta 0.000 0.000 0.000
Ta2 Ta 0.500 0.500 0.286
Pt1 Pt 0.000 0.000 0.484
Se1 Se 0.500 0.500 0.808

4.
# GGA-PBE Ta2PtSe, optimized geometry
# Total magnetization = 0.00 μB per atom
# ρ = 15.654 g/cm3
# Uncorrected formation energy = -0.26 eV per atom
data_Ta2PtSe
_cell_length_a 4.737
_cell_length_b 4.737
_cell_length_c 3.006
_cell_angle_alpha 90.00
_cell_angle_beta 90.00
_cell_angle_gamma 90.00
_space_group_name_H-M_alt 'P 4/m m m'
_space_group_IT_number 123
_space_group_name_Hall '-P 4 2'
loop_
_atom_site_label
_atom_site_type_symbol
_atom_site_fract_x
_atom_site_fract_y
_atom_site_fract_z
Ta1 Ta 0.000 0.500 0.000
Pt1 Pt 0.000 0.000 0.500
Se1 Se 0.500 0.500 0.500